First-principles (GGA+U) data for CuMoS2F after structural relaxation, as listed in the Alexandria database.

Values from the calculation:
DOS at the Fermi energy (states/eV/atom): 0.458
Crystal system: tetragonal
E (eV/atom): -4.468

Lattice parameters (Å, degrees): 4.640 4.640 3.775 90.00 90.00 90.00
Atoms (fractional coordinates):
1 Cu 0.000 0.000 0.000
2 Mo 0.500 0.500 0.500
3 S 0.000 0.500 0.000
4 S 0.500 0.000 0.000
5 F 0.000 0.000 0.500